1.
A plane-wave DFT calculation with PBE-GGA was carried out for a geometry-optimized NbAlTc structure.

abc: 6.0819 6.0819 6.0819
angles: 90.00 90.00 90.00
Last column: nearest neighbours and their distance in Å.
Space group F-43m (No. 216)
Unique sites:
Nb1 0.0000 0.0000 0.0000 x4  4 Tc 2.63
Al1 0.0000 0.0000 0.5000 x4  4 Tc 2.63
Tc1 0.2500 0.2500 0.7500 x4  4 Nb 2.63, 4 Al 2.63


2.
A plane-wave DFT calculation with PBE-GGA was carried out for a geometry-optimized NbAlTc structure.

abc: 3.2442 3.2442 9.0999
angles: 90.00 90.00 90.00
Last column: nearest neighbours and their distance in Å.
Space group I4mm (No. 107)
Unique sites:
Nb1 0.0000 0.0000 0.0000 x2  4 Tc 2.68, 5 Al 2.85-2.86
Al1 0.0000 0.0000 0.6852 x2  4 Tc 2.72, 5 Nb 2.85-2.86
Tc1 0.0000 0.0000 0.3468 x2  4 Nb 2.68, 4 Al 2.72


Which structure loses on stability? 1 does.